1.
This record from Alexandria via LeMat-Bulk describes a relaxed structure of LiPbBr2. The functional is PBE-GGA.

abc: 9.049 9.049 9.049
angles: 25.95 25.95 25.95
Fractional positions:
Li: 0.000 0.000 0.000
Pb: 0.226 0.226 0.226
Br: 0.483 0.483 0.483
Br: 0.680 0.680 0.680

Summary:
Raw formation energy in eV/f.u.: -3.266
Symmetry: R3m, No. 160
Uncorrected energy in eV per atom: -3.06
ΔE to the lowest computed polymorph in eV per atom: 0.130


2.
This record from Alexandria via LeMat-Bulk describes a relaxed structure of LiPbBr2. The functional is PBE-GGA.

abc: 5.953 5.953 3.800
angles: 91.52 91.52 90.16
Fractional positions:
Li: 0.000 0.000 0.000
Pb: 0.500 0.500 0.000
Br: 0.000 0.500 0.000
Br: 0.500 0.000 0.000

Summary:
Raw formation energy in eV/f.u.: -3.024
Symmetry: C2/m, No. 12
Uncorrected energy in eV per atom: -3.00
ΔE to the lowest computed polymorph in eV per atom: 0.191


3.
This record from Alexandria via LeMat-Bulk describes a relaxed structure of LiPbBr. The functional is PBE-GGA.

abc: 3.626 3.626 13.109
angles: 90.70 90.70 89.96
Fractional positions:
Li: 0.000 0.000 0.000
Li: 0.508 0.508 0.171
Pb: 0.007 0.007 0.672
Pb: 0.499 0.499 0.499
Br: 0.009 0.009 0.202
Br: 0.499 0.499 0.969

Summary:
Raw formation energy in eV/f.u.: -2.779
Symmetry: Cm, No. 8
Uncorrected energy in eV per atom: -3.36
ΔE to the lowest computed polymorph in eV per atom: 0.000


4.
This record from Alexandria via LeMat-Bulk describes a relaxed structure of LiPbBr. The functional is PBE-GGA.

abc: 6.944 6.944 6.944
angles: 150.57 150.57 42.11
Fractional positions:
Li: 0.000 0.000 0.000
Pb: 0.317 0.317 0.000
Br: 0.562 0.562 0.000

Summary:
Raw formation energy in eV/f.u.: -2.017
Symmetry: I4mm, No. 107
Uncorrected energy in eV per atom: -3.10
ΔE to the lowest computed polymorph in eV per atom: 0.254